No. 1
Here is a crystal of Cs2NaAlF6 relaxed with PBEsol from Alexandria. Energies are from SCAN.

Properties
Electronic total energy   -142.96 eV per formula unit
Magnetization   0.0168 μB per atom
Raw formation energy   -3.413 eV/atom

a = 6.1331 Å, b = 6.1331 Å, c = 10.5323 Å
α = 73.07°, β = 73.07°, γ = 60.00°
Positions (direct):
Al 0.5000 0.5000 0.5000
Al 0.0000 0.0000 0.0000
F 0.1020 0.6865 0.1095
Cs 0.2192 0.2192 0.3423
F 0.6772 0.2511 0.3944
Cs 0.6277 0.6277 0.1169
F 0.7489 0.3228 0.6056
Cs 0.3723 0.3723 0.8831
Cs 0.7808 0.7808 0.6577
F 0.6865 0.1020 0.1095
F 0.3135 0.8980 0.8905
F 0.3228 0.7489 0.6056
F 0.1020 0.1020 0.1095
Na 0.0980 0.0980 0.7061
F 0.8980 0.3135 0.8905
F 0.6772 0.6772 0.3944
F 0.2511 0.6772 0.3944
Na 0.9020 0.9020 0.2939
F 0.8980 0.8980 0.8905
F 0.3228 0.3228 0.6056


No. 2
Here is a crystal of CsAlPdF6 relaxed with PBEsol from Alexandria. Energies are from SCAN.

Properties
Electronic total energy   -125.74 eV per formula unit
Magnetization   0.2222 μB per atom
Raw formation energy   -2.906 eV/atom

a = 7.1912 Å, b = 7.4184 Å, c = 10.2172 Å
α = 90.00°, β = 90.00°, γ = 90.00°
Site moments in Bohr magnetons follow the coordinates.
Positions (direct):
Cs 0.7500 0.5048 0.8583  0.00
Pd 0.7500 0.7445 0.2476  1.60
F 0.9798 0.8209 0.1192  0.06
F 0.9798 0.3209 0.3808  0.06
F 0.7500 0.4927 0.1461  0.15
F 0.9850 0.6659 0.3710  0.06
F 0.7500 0.0053 0.9764  0.00
Al 0.0000 0.5000 0.5000  0.00
Al 0.0000 0.0000 0.0000  0.00
F 0.2500 0.4947 0.4764  0.00
F 0.4798 0.1791 0.8808  0.06
F 0.4798 0.6791 0.6192  0.06
F 0.5150 0.6659 0.3710  0.06
Cs 0.2500 0.4952 0.1417  0.00
F 0.0202 0.6791 0.6192  0.06
Pd 0.2500 0.7555 0.7476  1.60
F 0.2500 0.0073 0.6461  0.15
Al 0.5000 0.0000 0.0000  0.00
F 0.7500 0.9927 0.3539  0.15
F 0.5202 0.3209 0.3808  0.06
F 0.4850 0.3341 0.6290  0.06
F 0.5150 0.1659 0.1290  0.06
F 0.7500 0.5053 0.5236  0.00
F 0.0202 0.1791 0.8808  0.06
F 0.9850 0.1659 0.1290  0.06
F 0.4850 0.8341 0.8710  0.06
Al 0.5000 0.5000 0.5000  0.00
F 0.0150 0.3341 0.6290  0.06
F 0.5202 0.8209 0.1192  0.06
Cs 0.7500 0.0048 0.6417  0.00
F 0.2500 0.5073 0.8539  0.15
F 0.0150 0.8341 0.8710  0.06
Pd 0.7500 0.2445 0.2524  1.60
F 0.2500 0.9947 0.0236  0.00
Pd 0.2500 0.2555 0.7524  1.60
Cs 0.2500 0.9952 0.3583  0.00


No. 3
Here is a crystal of CsAlRhF2 relaxed with PBEsol from Alexandria. Energies are from SCAN.

Properties
Electronic total energy   -90.32 eV per formula unit
Magnetization   0.0001 μB per atom
Raw formation energy   -0.781 eV/atom

a = 3.7954 Å, b = 3.7954 Å, c = 8.1323 Å
α = 90.00°, β = 90.00°, γ = 90.00°
Positions (direct):
Cs 0.0000 0.0000 0.5000
Al 0.0000 0.0000 0.0000
F 0.0000 0.5000 0.0000
Rh 0.5000 0.5000 0.5000
F 0.5000 0.0000 0.0000


No. 4
Here is a crystal of CsAlGe3 relaxed with PBEsol from Alexandria. Energies are from SCAN.

Properties
Electronic total energy   -92.53 eV per formula unit
Magnetization   0.0000 μB per atom
E_form   198.7 kJ/mol of atoms

a = 5.5866 Å, b = 5.5866 Å, c = 5.5866 Å
α = 90.00°, β = 90.00°, γ = 90.00°
Positions (direct):
Al 0.5000 0.5000 0.5000
Cs 0.0000 0.0000 0.0000
Ge 0.0000 0.0000 0.5000
Ge 0.5000 0.0000 0.0000
Ge 0.0000 0.5000 0.0000


No. 5
Here is a crystal of Cs3AlGe2O7 relaxed with PBEsol from Alexandria. Energies are from SCAN.

Properties
Electronic total energy   -232.10 eV per formula unit
Magnetization   0.0095 μB per atom
Raw formation energy   -2.240 eV/atom

a = 7.6389 Å, b = 7.9107 Å, c = 9.8375 Å
α = 108.03°, β = 107.00°, γ = 103.79°
Positions (direct):
O 0.8921 0.6580 0.9947
Cs 0.7166 0.9824 0.3917
Al 0.3090 0.5590 0.1181
Cs 0.2834 0.0176 0.6083
O 0.8961 0.6461 0.2922
O 0.1039 0.3539 0.7078
Ge 0.3243 0.5649 0.8005
Cs 0.1751 0.4093 0.3917
O 0.7175 0.2722 0.2737
Cs 0.7387 0.9887 0.9775
Cs 0.8249 0.5907 0.6083
O 0.2495 0.7263 0.2460
Ge 0.6757 0.4351 0.1995
O 0.2825 0.7278 0.7263
O 0.7505 0.2737 0.7540
O 0.1079 0.3420 0.0053
O 0.0562 0.0015 0.2737
O 0.3974 0.6633 0.0053
Ge 0.9763 0.2357 0.8005
Ge 0.0237 0.7643 0.1995
O 0.4964 0.5197 0.2460
O 0.6026 0.3367 0.9947
Al 0.6910 0.4410 0.8819
O 0.5036 0.4803 0.7540
Cs 0.2613 0.0113 0.0225
O 0.9438 0.9985 0.7263


No. 6
Here is a crystal of CsAl3H relaxed with PBEsol from Alexandria. Energies are from SCAN.

Properties
Electronic total energy   -59.82 eV per formula unit
Magnetization   0.0049 μB per atom

a = 4.7589 Å, b = 4.7589 Å, c = 4.7589 Å
α = 90.00°, β = 90.00°, γ = 90.00°
Positions (direct):
Al 0.0000 0.5000 0.0000
Al 0.5000 0.0000 0.0000
Cs 0.5000 0.5000 0.5000
H 0.0000 0.0000 0.0000
Al 0.0000 0.0000 0.5000


- The highest magnetization belongs to which entry?
  CsAlPdF6